# PBE TePPbCl2, relaxed
# Mass density = 4.55 g cm⁻³
# DOS(E_F) = 3.280 states/eV/f.u.
# Energy relative to the elements, uncorrected = 273 meV/atom
# Spin magnetization = 0.62 μB/f.u.
# Crystal system = tetragonal
# Relative energy among the computed polymorphs = 80 meV per atom
data_TePPbCl2
_symmetry_space_group_name_H-M 'P 1'
_symmetry_Int_Tables_number 1
_symmetry_space_group_name_Hall 'P 1'
_cell_length_a 5.2861
_cell_length_b 5.2861
_cell_length_c 5.7008
_cell_angle_alpha 90.00
_cell_angle_beta 90.00
_cell_angle_gamma 90.00
loop_
_atom_site_label
_atom_site_fract_x
_atom_site_fract_y
_atom_site_fract_z
_atom_site_occupancy
Pb1 0.0000 0.0000 0.0000 1
P1 0.0000 0.0000 0.5000 1
Te1 0.5000 0.5000 0.5000 1
Cl1 0.0000 0.5000 0.0000 1
Cl2 0.5000 0.0000 0.0000 1

=====

# PBE TlPPbCl2, relaxed
# Mass density = 3.18 g cm⁻³
# DOS(E_F) = 2.446 states/eV/f.u.
# Energy relative to the elements, uncorrected = 84 meV/atom
# Spin magnetization = 2.00 μB/f.u.
# Crystal system = tetragonal
# Relative energy among the computed polymorphs = 166 meV per atom
data_TlPPbCl2
_symmetry_space_group_name_H-M 'P 1'
_symmetry_Int_Tables_number 1
_symmetry_space_group_name_Hall 'P 1'
_cell_length_a 6.0120
_cell_length_b 6.0120
_cell_length_c 7.4171
_cell_angle_alpha 90.00
_cell_angle_beta 90.00
_cell_angle_gamma 90.00
loop_
_atom_site_label
_atom_site_fract_x
_atom_site_fract_y
_atom_site_fract_z
_atom_site_occupancy
Pb1 0.0000 0.0000 0.0000 1
P1 0.0000 0.0000 0.5000 1
Tl1 0.5000 0.5000 0.5000 1
Cl1 0.0000 0.5000 0.0000 1
Cl2 0.5000 0.0000 0.0000 1

=====

# PBE TlPPbCl2, relaxed
# Mass density = 5.40 g cm⁻³
# DOS(E_F) = 2.675 states/eV/f.u.
# Energy relative to the elements, uncorrected = 48 meV/atom
# Spin magnetization = 0.46 μB/f.u.
# Crystal system = tetragonal
# Relative energy among the computed polymorphs = 130 meV per atom
data_TlPPbCl2
_symmetry_space_group_name_H-M 'P 1'
_symmetry_Int_Tables_number 1
_symmetry_space_group_name_Hall 'P 1'
_cell_length_a 5.3938
_cell_length_b 5.3938
_cell_length_c 5.4278
_cell_angle_alpha 90.00
_cell_angle_beta 90.00
_cell_angle_gamma 90.00
loop_
_atom_site_label
_atom_site_fract_x
_atom_site_fract_y
_atom_site_fract_z
_atom_site_occupancy
Pb1 0.5000 0.5000 0.5000 1
P1 0.0000 0.0000 0.5000 1
Tl1 0.0000 0.0000 0.0000 1
Cl1 0.0000 0.5000 0.0000 1
Cl2 0.5000 0.0000 0.0000 1

=====

# PBE TlPPbCl2, relaxed
# Mass density = 6.11 g cm⁻³
# DOS(E_F) = 2.767 states/eV/f.u.
# Energy relative to the elements, uncorrected = -82 meV/atom
# Spin magnetization = 0.00 μB/f.u.
# Crystal system = tetragonal
# Relative energy among the computed polymorphs = 0 meV per atom
data_TlPPbCl2
_symmetry_space_group_name_H-M 'P 1'
_symmetry_Int_Tables_number 1
_symmetry_space_group_name_Hall 'P 1'
_cell_length_a 4.8765
_cell_length_b 5.8699
_cell_length_c 4.8765
_cell_angle_alpha 90.00
_cell_angle_beta 90.00
_cell_angle_gamma 90.00
loop_
_atom_site_label
_atom_site_fract_x
_atom_site_fract_y
_atom_site_fract_z
_atom_site_occupancy
Pb1 0.0000 0.5000 0.0000 1
P1 0.0000 0.0000 0.0000 1
Tl1 0.5000 0.5000 0.5000 1
Cl1 0.0000 0.0000 0.5000 1
Cl2 0.5000 0.0000 0.0000 1

=====

# PBE VP2PbCl, relaxed
# Mass density = 4.55 g cm⁻³
# DOS(E_F) = 10.625 states/eV/f.u.
# Energy relative to the elements, uncorrected = 1399 meV/atom
# Spin magnetization = 0.41 μB/f.u.
# Crystal system = tetragonal
# Relative energy among the computed polymorphs = 1485 meV per atom
data_VP2PbCl
_symmetry_space_group_name_H-M 'P 1'
_symmetry_Int_Tables_number 1
_symmetry_space_group_name_Hall 'P 1'
_cell_length_a 5.0452
_cell_length_b 5.0452
_cell_length_c 5.0996
_cell_angle_alpha 90.00
_cell_angle_beta 90.00
_cell_angle_gamma 90.00
loop_
_atom_site_label
_atom_site_fract_x
_atom_site_fract_y
_atom_site_fract_z
_atom_site_occupancy
Pb1 0.0000 0.0000 0.0000 1
P1 0.0000 0.5000 0.0000 1
P2 0.5000 0.0000 0.0000 1
Cl1 0.0000 0.0000 0.5000 1
V1 0.5000 0.5000 0.5000 1

=====

# PBE VP2PbCl, relaxed
# Mass density = 5.51 g cm⁻³
# DOS(E_F) = 2.353 states/eV/f.u.
# Energy relative to the elements, uncorrected = -85 meV/atom
# Spin magnetization = 0.77 μB/f.u.
# Crystal system = tetragonal
# Relative energy among the computed polymorphs = 0 meV per atom
data_VP2PbCl
_symmetry_space_group_name_H-M 'P 1'
_symmetry_Int_Tables_number 1
_symmetry_space_group_name_Hall 'P 1'
_cell_length_a 4.6148
_cell_length_b 4.6148
_cell_length_c 5.0310
_cell_angle_alpha 90.00
_cell_angle_beta 90.00
_cell_angle_gamma 90.00
loop_
_atom_site_label
_atom_site_fract_x
_atom_site_fract_y
_atom_site_fract_z
_atom_site_occupancy
Pb1 0.5000 0.5000 0.5000 1
P1 0.0000 0.5000 0.0000 1
P2 0.5000 0.0000 0.0000 1
Cl1 0.0000 0.0000 0.5000 1
V1 0.0000 0.0000 0.0000 1

=====

# PBE P2PbWCl, relaxed
# Mass density = 7.17 g cm⁻³
# DOS(E_F) = 2.305 states/eV/f.u.
# Energy relative to the elements, uncorrected = 200 meV/atom
# Spin magnetization = 0.00 μB/f.u.
# Crystal system = tetragonal
# Relative energy among the computed polymorphs = 0 meV per atom
data_P2PbWCl
_symmetry_space_group_name_H-M 'P 1'
_symmetry_Int_Tables_number 1
_symmetry_space_group_name_Hall 'P 1'
_cell_length_a 4.7068
_cell_length_b 4.7068
_cell_length_c 5.1082
_cell_angle_alpha 90.00
_cell_angle_beta 90.00
_cell_angle_gamma 90.00
loop_
_atom_site_label
_atom_site_fract_x
_atom_site_fract_y
_atom_site_fract_z
_atom_site_occupancy
Pb1 0.5000 0.5000 0.5000 1
P1 0.0000 0.5000 0.0000 1
P2 0.5000 0.0000 0.0000 1
W1 0.0000 0.0000 0.0000 1
Cl1 0.0000 0.0000 0.5000 1

=====

# PBE P2PbWCl, relaxed
# Mass density = 5.50 g cm⁻³
# DOS(E_F) = 2.278 states/eV/f.u.
# Energy relative to the elements, uncorrected = 1793 meV/atom
# Spin magnetization = 3.02 μB/f.u.
# Crystal system = tetragonal
# Relative energy among the computed polymorphs = 1593 meV per atom
data_P2PbWCl
_symmetry_space_group_name_H-M 'P 1'
_symmetry_Int_Tables_number 1
_symmetry_space_group_name_Hall 'P 1'
_cell_length_a 5.3354
_cell_length_b 5.3354
_cell_length_c 5.1813
_cell_angle_alpha 90.00
_cell_angle_beta 90.00
_cell_angle_gamma 90.00
loop_
_atom_site_label
_atom_site_fract_x
_atom_site_fract_y
_atom_site_fract_z
_atom_site_occupancy
Pb1 0.0000 0.0000 0.0000 1
P1 0.0000 0.5000 0.0000 1
P2 0.5000 0.0000 0.0000 1
W1 0.5000 0.5000 0.5000 1
Cl1 0.0000 0.0000 0.5000 1

=====

# PBE ZnPPbCl2, relaxed
# Mass density = 3.62 g cm⁻³
# DOS(E_F) = 2.602 states/eV/f.u.
# Energy relative to the elements, uncorrected = 176 meV/atom
# Spin magnetization = 1.99 μB/f.u.
# Crystal system = tetragonal
# Relative energy among the computed polymorphs = 344 meV per atom
data_ZnPPbCl2
_symmetry_space_group_name_H-M 'P 1'
_symmetry_Int_Tables_number 1
_symmetry_space_group_name_Hall 'P 1'
_cell_length_a 5.5295
_cell_length_b 5.5295
_cell_length_c 5.6140
_cell_angle_alpha 90.00
_cell_angle_beta 90.00
_cell_angle_gamma 90.00
loop_
_atom_site_label
_atom_site_fract_x
_atom_site_fract_y
_atom_site_fract_z
_atom_site_occupancy
Pb1 0.0000 0.0000 0.0000 1
P1 0.0000 0.0000 0.5000 1
Zn1 0.5000 0.5000 0.5000 1
Cl1 0.0000 0.5000 0.0000 1
Cl2 0.5000 0.0000 0.0000 1

=====

# PBE ZnP2PbCl, relaxed
# Mass density = 3.64 g cm⁻³
# DOS(E_F) = 3.145 states/eV/f.u.
# Energy relative to the elements, uncorrected = 877 meV/atom
# Spin magnetization = 3.15 μB/f.u.
# Crystal system = tetragonal
# Relative energy among the computed polymorphs = 568 meV per atom
data_ZnP2PbCl
_symmetry_space_group_name_H-M 'P 1'
_symmetry_Int_Tables_number 1
_symmetry_space_group_name_Hall 'P 1'
_cell_length_a 5.5510
_cell_length_b 5.5510
_cell_length_c 5.4853
_cell_angle_alpha 90.00
_cell_angle_beta 90.00
_cell_angle_gamma 90.00
loop_
_atom_site_label
_atom_site_fract_x
_atom_site_fract_y
_atom_site_fract_z
_atom_site_occupancy
Pb1 0.0000 0.0000 0.0000 1
P1 0.0000 0.5000 0.0000 1
P2 0.5000 0.0000 0.0000 1
Zn1 0.5000 0.5000 0.5000 1
Cl1 0.0000 0.0000 0.5000 1